# PBE CaTl2Ir, relaxed
data_CaTl2Ir
_space_group_name_H-M_alt 'P 4 m m'
_space_group_IT_number 99
_space_group_name_Hall 'P 4 -2'
_cell_length_a 3.3970
_cell_length_b 3.3970
_cell_length_c 8.4757
_cell_angle_alpha 90.00
_cell_angle_beta 90.00
_cell_angle_gamma 90.00
loop_
_atom_site_label
_atom_site_type_symbol
_atom_site_fract_x
_atom_site_fract_y
_atom_site_fract_z
Ca1 Ca 0.0000 0.0000 0.0000
Tl1 Tl 0.0000 0.0000 0.3976
Tl2 Tl 0.5000 0.5000 0.6839
Ir1 Ir 0.5000 0.5000 0.2052
# **Volume**: 97.81 Å³ per cell
# **ΔE_f**: 0.030 eV per atom
# **D(E_F)**: 0.456 states/eV per atom
# **Size of the total moment**: 0.00 μB/f.u.



# PBE ZnSb2Pt, relaxed
data_ZnSb2Pt
_space_group_name_H-M_alt 'I m m m'
_space_group_IT_number 71
_space_group_name_Hall '-I 2 2'
_cell_length_a 4.1327
_cell_length_b 5.2793
_cell_length_c 7.8321
_cell_angle_alpha 90.00
_cell_angle_beta 90.00
_cell_angle_gamma 90.00
loop_
_atom_site_label
_atom_site_type_symbol
_atom_site_fract_x
_atom_site_fract_y
_atom_site_fract_z
Zn1 Zn 0.0000 0.0000 0.0000
Sb1 Sb 0.0000 0.5000 0.2401
Pt1 Pt 0.0000 0.0000 0.5000
# **Volume**: 170.88 Å³ per cell
# **Formation energy from raw total energies**: 0.30 eV/f.u.
# **D(E_F)**: 0.483 states/eV per atom
# **Size of the total moment**: 0.00 μB/f.u.



# PBE CsV3Te, relaxed
data_CsV3Te
_space_group_name_H-M_alt 'P m -3 m'
_space_group_IT_number 221
_space_group_name_Hall '-P 4 2 3'
_cell_length_a 4.8391
_cell_length_b 4.8391
_cell_length_c 4.8391
_cell_angle_alpha 90.00
_cell_angle_beta 90.00
_cell_angle_gamma 90.00
loop_
_atom_site_label
_atom_site_type_symbol
_atom_site_fract_x
_atom_site_fract_y
_atom_site_fract_z
Cs1 Cs 0.0000 0.0000 0.0000
V1 V 0.0000 0.0000 0.5000
Te1 Te 0.5000 0.5000 0.5000
# **Volume**: 113.32 Å³ per cell
# **Formation energy from raw total energies**: 12.12 eV/f.u.
# **D(E_F)**: 1.202 states/eV per atom
# **Size of the total moment**: 0.00 μB/f.u.
# **E above lowest polymorph**: 5.72 eV per formula unit



# PBE NaSr2Au2, relaxed
data_NaSr2Au2
_space_group_name_H-M_alt 'P 4/m b m'
_space_group_IT_number 127
_space_group_name_Hall '-P 4 2ab'
_cell_length_a 8.4244
_cell_length_b 8.4244
_cell_length_c 4.2806
_cell_angle_alpha 90.00
_cell_angle_beta 90.00
_cell_angle_gamma 90.00
loop_
_atom_site_label
_atom_site_type_symbol
_atom_site_fract_x
_atom_site_fract_y
_atom_site_fract_z
Na1 Na 0.0000 0.0000 0.0000
Sr1 Sr 0.1676 0.3324 0.5000
Au1 Au 0.1262 0.6262 0.0000
# **Volume**: 303.80 Å³ per cell
# **ΔE_f**: -0.622 eV per atom
# **D(E_F)**: 0.662 states/eV per atom
# **Size of the total moment**: 0.00 μB/f.u.
# **E above lowest polymorph**: 0.00 eV per formula unit



> Which formula does entry 2 have?

ZnSb2Pt



> Which of these has the lowest D(E_F)?

CaTl2Ir



> size of the total moment of number 1 (CaTl2Ir)?

0.00 μB/f.u.